Entry 1:
Computed, not measured: a geometry-optimized TbPm2Th3 structure at the GGA-PBE level of DFT. Values from VASP.

```
&SYSTEM
  ibrav = 0, nat = 12, ntyp = 3
/
ATOMIC_SPECIES
Tb 158.93 Tb.upf
Th 232.04 Th.upf
Pm 145.00 Pm.upf
CELL_PARAMETERS angstrom
-3.9789 -1.8262 -5.1799
-5.9814 -6.7616 6.9784
-0.1865 7.2883 -2.4263
ATOMIC_POSITIONS angstrom
Tb -2.3666 -2.0074 0.3056
Th -3.0449 0.3850 -2.2368
Th -2.9907 -3.3808 3.4892
Pm -5.6587 -1.8894 -1.6472
Pm -6.4230 -4.0893 4.1555
Th -4.9801 -4.2939 0.8993
Th -1.0555 1.2981 0.3531
Th -7.1018 -1.6845 1.6091
Tb -7.5936 -6.5804 1.4929
Pm -4.4881 0.5900 1.0195
Pm -3.7238 2.7898 -4.7832
Th -5.1124 -0.7714 4.1990
```

Computed properties:
As for the space group: Cmcm (63). For the density of states at the Fermi level, the calculation gives 15.34 states/eV per cell. For the total DFT energy (no corrections), the calculation gives -5.87 eV per atom.

=====

Entry 2:
Computed, not measured: a geometry-optimized Tb3Pm4Th2 structure at the GGA-PBE level of DFT. Values from VASP.

```
&SYSTEM
  ibrav = 0, nat = 9, ntyp = 3
/
ATOMIC_SPECIES
Tb 158.93 Tb.upf
Pm 145.00 Pm.upf
Th 232.04 Th.upf
CELL_PARAMETERS angstrom
-0.2344 -3.4534 -1.1102
9.3849 -1.2479 1.9002
-5.7729 -0.1621 7.6745
ATOMIC_POSITIONS angstrom
Tb -1.1823 -3.4514 5.0347
Pm 2.8011 -2.2022 0.3079
Th 7.2767 -3.6104 3.7431
Pm 2.5001 -3.7606 5.2191
Pm 0.5764 -2.6612 8.1566
Th -3.8992 -1.2531 4.7214
Pm 0.8774 -1.1029 3.2455
Tb 0.0000 0.0000 0.0000
Tb 4.5599 -1.4121 3.4298
```

Computed properties:
The energy above the most stable polymorph in this dataset comes out at 0.0 meV/atom. As for the space group: C2/m (12). For the density of states at the Fermi level, the calculation gives 12.54 states/eV per cell.

=====

Entry 3:
Computed, not measured: a geometry-optimized Tb7Pm12Th structure at the GGA-PBE level of DFT. Values from VASP.

```
&SYSTEM
  ibrav = 0, nat = 20, ntyp = 3
/
ATOMIC_SPECIES
Pm 145.00 Pm.upf
Tb 158.93 Tb.upf
Th 232.04 Th.upf
CELL_PARAMETERS angstrom
-9.1738 0.0242 -3.8879
6.5443 2.9446 -6.9120
2.2953 -9.2074 3.0382
ATOMIC_POSITIONS angstrom
Pm 6.0413 -4.0105 -5.5615
Tb -3.4393 -4.5916 -0.4248
Tb 4.4198 -3.1314 -1.9369
Pm 0.4765 -3.7680 -1.1518
Tb -0.1671 -3.1193 -3.8808
Pm 3.3306 -6.2439 0.6097
Pm -2.3187 -1.5144 -2.8428
Tb -1.3147 1.4844 -5.4000
Pm -6.3755 -2.2280 -2.2002
Tb 3.2722 1.4723 -3.4560
Pm 1.9845 -4.7241 -4.9189
Pm -0.8107 -2.4705 -6.6099
Pm 1.5162 -0.8045 -3.5785
Pm -3.6648 0.0054 -8.3714
Pm -1.8504 -5.4340 -4.1832
Pm -3.0447 -8.4690 -1.5868
Tb -4.5869 0.0121 -1.9440
Pm 2.7105 2.2304 -6.1749
Tb 1.1476 -4.6037 1.5191
Th 0.0000 0.0000 0.0000
```

Computed properties:
The energy above the most stable polymorph in this dataset comes out at 475.3 meV/atom. As for the space group: Im-3m (229). For the density of states at the Fermi level, the calculation gives 27.21 states/eV per cell.

=====

Entry 4:
Computed, not measured: a geometry-optimized TbPmTh2 structure at the GGA-PBE level of DFT. Values from VASP.

```
&SYSTEM
  ibrav = 0, nat = 8, ntyp = 3
/
ATOMIC_SPECIES
Pm 145.00 Pm.upf
Tb 158.93 Tb.upf
Th 232.04 Th.upf
CELL_PARAMETERS angstrom
5.0261 0.0000 -0.5908
0.0000 5.0862 0.0000
-3.8140 0.0000 10.7020
ATOMIC_POSITIONS angstrom
Pm 0.4418 1.2715 3.7172
Tb 2.9555 3.8146 3.4207
Th 2.6589 1.2715 0.9160
Th 0.1458 3.8146 1.2252
Th -1.4468 3.8146 9.1953
Pm 0.7703 3.8146 6.3940
Tb -1.7434 1.2715 6.6906
Th 1.0663 1.2715 8.8860
```

Computed properties:
The energy above the most stable polymorph in this dataset comes out at 0.0 meV/atom. As for the space group: P2_1/m (11). For the density of states at the Fermi level, the calculation gives 13.69 states/eV per cell.